Density functional theory data (GGA+U) for crystalline Li4FeSi2O7 at its relaxed geometry.

Cell: 5.478 7.233 8.131 Å, 94.42 90.00 112.25°
Positions (direct):
Li 0.263 0.847 0.124
Li 0.584 0.847 0.624
Li 0.115 0.585 0.407
Li 0.470 0.585 0.907
Li 0.869 0.446 0.053
Li 0.577 0.446 0.553
Li 0.810 0.994 0.977
Li 0.183 0.994 0.477
Fe 0.314 0.300 0.202
Fe 0.986 0.300 0.702
Si 0.692 0.728 0.262
Si 0.036 0.728 0.762
Si 0.743 0.148 0.329
Si 0.406 0.148 0.829
O 0.785 0.944 0.395
O 0.159 0.944 0.895
O 0.572 0.779 0.097
O 0.207 0.779 0.597
O 0.950 0.673 0.229
O 0.723 0.673 0.729
O 0.462 0.554 0.359
O 0.092 0.554 0.859
O 0.851 0.327 0.478
O 0.476 0.327 0.978
O 0.919 0.219 0.164
O 0.300 0.219 0.664
O 0.426 0.090 0.292
O 0.663 0.090 0.792

Properties
* excess energy over the best structure of this formula in the dataset: 0 meV per atom
* total magnetization: 8.000 μB per cell
* calculated total energy: -6.577 eV/atom
* D(E_F): 0.000 states/eV per cell
* density: 2.814 g cm⁻³